No. 1
DFT (PBE) results for an optimized crystal structure of La3NdAs4.

formation enthalpy at 0 K = -1.558 eV/atom

```
La3NdAs4
1.0
4.351 -6.150 0.000
4.351 6.150 0.000
0.000 0.000 4.353
La Nd As
3 1 4
Direct
0.000 0.000 0.000 La
0.000 0.500 0.500 La
0.500 0.000 0.500 La
0.500 0.500 0.000 Nd
0.251 0.749 0.000 As
0.253 0.253 0.500 As
0.747 0.747 0.500 As
0.749 0.251 0.000 As
```


No. 2
DFT (PBE) results for an optimized crystal structure of LaNdAs2.

formation enthalpy at 0 K = -1.543 eV/atom
offset from the most stable computed form = 0 meV/atom

```
LaNdAs2
1.0
2.163 1.249 7.058
-2.163 1.249 7.058
0.000 -2.498 7.058
La Nd As
1 1 2
Direct
0.000 0.000 0.000 La
0.500 0.500 0.500 Nd
0.249 0.249 0.249 As
0.751 0.751 0.751 As
```


No. 3
DFT (PBE) results for an optimized crystal structure of La2Nd2As5.

formation enthalpy at 0 K = -1.225 eV/atom

```
La2Nd2As5
1.0
7.925 -3.917 0.000
7.925 3.917 0.000
0.000 0.000 7.886
La Nd As
4 4 10
Direct
0.187 0.187 0.000 La
0.313 0.313 0.500 La
0.687 0.687 0.500 La
0.813 0.813 0.000 La
0.169 0.831 0.670 Nd
0.331 0.669 0.170 Nd
0.669 0.331 0.830 Nd
0.831 0.169 0.330 Nd
0.000 0.000 0.000 As
0.018 0.256 0.619 As
0.244 0.482 0.881 As
0.256 0.018 0.381 As
0.482 0.244 0.119 As
0.500 0.500 0.500 As
0.518 0.756 0.881 As
0.744 0.982 0.619 As
0.756 0.518 0.119 As
0.982 0.744 0.381 As
```


No. 4
DFT (PBE) results for an optimized crystal structure of La2Nd2As3.

formation enthalpy at 0 K = -1.305 eV/atom

```
La2Nd2As3
1.0
-4.562 4.562 4.562
4.562 -4.562 4.562
4.562 4.562 -4.562
La Nd As
4 4 6
Direct
0.000 0.363 0.500 La
0.137 0.137 0.137 La
0.363 0.500 0.000 La
0.500 0.000 0.363 La
0.000 0.867 0.500 Nd
0.500 0.000 0.867 Nd
0.633 0.633 0.633 Nd
0.867 0.500 0.000 Nd
0.120 0.750 0.870 As
0.250 0.630 0.380 As
0.380 0.250 0.630 As
0.630 0.380 0.250 As
0.750 0.870 0.120 As
0.870 0.120 0.750 As
```


No. 5
DFT (PBE) results for an optimized crystal structure of LaNd3As4.

formation enthalpy at 0 K = -1.527 eV/atom

```
LaNd3As4
1.0
4.300 -6.076 0.000
4.300 6.076 0.000
0.000 0.000 4.301
La Nd As
1 3 4
Direct
0.000 0.000 0.000 La
0.000 0.500 0.500 Nd
0.500 0.000 0.500 Nd
0.500 0.500 0.000 Nd
0.251 0.749 0.000 As
0.253 0.253 0.500 As
0.747 0.747 0.500 As
0.749 0.251 0.000 As
```


No. 6
DFT (PBE) results for an optimized crystal structure of LaNd5As6.

formation enthalpy at 0 K = -1.523 eV/atom

```
LaNd5As6
1.0
3.717 -6.435 0.000
3.717 6.435 0.000
-2.479 0.000 7.006
La Nd As
1 5 6
Direct
0.000 0.000 0.000 La
0.166 0.834 0.500 Nd
0.333 0.667 0.000 Nd
0.500 0.500 0.500 Nd
0.667 0.333 0.000 Nd
0.834 0.166 0.500 Nd
0.084 0.419 0.251 As
0.252 0.252 0.749 As
0.419 0.084 0.251 As
0.581 0.916 0.749 As
0.748 0.748 0.251 As
0.916 0.581 0.749 As
```